# 1
A plane-wave DFT calculation with PBE was carried out for an optimized crystal structure of Cu2Si2P.

abc: 6.1011 6.1011 6.1011
angles: 145.63 145.63 49.40
Closest atoms and distances in Å follow each position.
Sites, in units of the cell vectors:
Cu: 0.2500 0.7500 0.5000  4 Si 2.43, 4 Cu 2.55
Cu: 0.7500 0.2500 0.5000  4 Si 2.43, 4 Cu 2.55
Si: 0.3963 0.3963 0.0000  1 Si 2.30, 4 Cu 2.43
Si: 0.6037 0.6037 0.0000  1 Si 2.30, 4 Cu 2.43
P: 0.0000 0.0000 0.0000  8 Si 2.80

Total magnetic moment = 0.00 Bohr magnetons per cell
Mass density = 4.94 g/cm3
Space-group type = No. 139
Relative energy among the computed polymorphs = 0.000 eV/atom
E = -4.54 eV/atom

***

# 2
A plane-wave DFT calculation with PBE was carried out for an optimized crystal structure of Ca3Ni9SnP2.

abc: 5.8200 5.8200 8.7323
angles: 90.00 90.00 120.00
Closest atoms and distances in Å follow each position.
Sites, in units of the cell vectors:
Ca: 0.3333 0.6667 0.6662  6 Ni 2.98
Ca: 0.0000 0.0000 0.0000  12 Ni 2.74-2.91
Ca: 0.6667 0.3333 0.3338  6 Ni 2.98
Ni: 0.8555 0.1445 0.7345  1 P 2.11
Ni: 0.8555 0.7110 0.7345  1 P 2.11
Ni: 0.2890 0.1445 0.7345  1 P 2.11
Ni: 0.7110 0.8555 0.2655  1 P 2.11
Ni: 0.1445 0.2890 0.2655  1 P 2.11
Ni: 0.1445 0.8555 0.2655  1 P 2.11
Ni: 0.5000 0.0000 0.0000  2 P 2.19
Ni: 0.0000 0.5000 0.0000  2 P 2.19
Ni: 0.5000 0.5000 0.0000  2 P 2.19
Sn: 0.0000 0.0000 0.5000  6 Ni 2.51
P: 0.3333 0.6667 0.1617  6 Ni 2.11-2.19
P: 0.6667 0.3333 0.8383  6 Ni 2.11-2.19

Total magnetic moment = 0.00 Bohr magnetons per cell
Mass density = 5.37 g/cm3
Energy relative to the elements = -0.290 eV/atom
Space-group type = No. 164
E = -5.15 eV/atom

***

# 3
A plane-wave DFT calculation with PBE was carried out for an optimized crystal structure of TcIr3C.

abc: 4.0880 4.0880 4.0880
angles: 90.00 90.00 90.00
Closest atoms and distances in Å follow each position.
Sites, in units of the cell vectors:
C: 0.0000 0.0000 0.0000  6 Ir 2.04
Ir: 0.0000 0.5000 0.0000  2 C 2.04
Ir: 0.0000 0.0000 0.5000  2 C 2.04
Ir: 0.5000 0.0000 0.0000  2 C 2.04
Tc: 0.5000 0.5000 0.5000  12 Ir 2.89

Total magnetic moment = 2.06 Bohr magnetons per cell
Mass density = 16.69 g/cm3
Energy relative to the elements = 0.674 eV/atom
Space-group type = No. 221
Relative energy among the computed polymorphs = 0.000 eV/atom
E = -8.56 eV/atom

***

# 4
A plane-wave DFT calculation with PBE was carried out for an optimized crystal structure of K2ThMnN4.

abc: 5.5100 7.9691 6.6540
angles: 90.00 90.00 90.00
Closest atoms and distances in Å follow each position.
Sites, in units of the cell vectors:
K: 0.4584 0.3709 0.2650  2 N 2.53-2.73
K: 0.4584 0.3709 0.7350  2 N 2.53-2.73
K: 0.9584 0.6291 0.7650  2 N 2.53-2.73
K: 0.9584 0.6291 0.2350  2 N 2.53-2.73
Th: 0.9781 0.0906 0.5000  4 N 2.21-2.45
Th: 0.4781 0.9094 0.0000  4 N 2.21-2.45
Mn: 0.5082 0.8293 0.5000  4 N 1.71-1.77
Mn: 0.0082 0.1707 0.0000  4 N 1.71-1.77
N: 0.3192 0.1639 0.0000  1 Mn 1.71
N: 0.8192 0.8361 0.5000  1 Mn 1.71
N: 0.4176 0.0411 0.5000  1 Mn 1.76
N: 0.9176 0.9589 0.0000  1 Mn 1.76
N: 0.4300 0.7288 0.7277  1 Mn 1.77
N: 0.9300 0.2712 0.2277  1 Mn 1.77
N: 0.9300 0.2712 0.7723  1 Mn 1.77
N: 0.4300 0.7288 0.2723  1 Mn 1.77

Total magnetic moment = 2.00 Bohr magnetons per cell
Mass density = 4.79 g/cm3
Space-group type = No. 31
E = -6.96 eV/atom

***

# 5
A plane-wave DFT calculation with PBE was carried out for an optimized crystal structure of CsBaTl4Bi2.

abc: 4.8481 4.8481 14.2917
angles: 90.00 90.00 90.00
Closest atoms and distances in Å follow each position.
Sites, in units of the cell vectors:
Cs: 0.0000 0.0000 0.0000  8 Tl 4.09
Ba: 0.0000 0.0000 0.5000  8 Bi 3.79
Tl: 0.0000 0.5000 0.2306  2 Bi 3.29, 4 Tl 3.43
Tl: 0.5000 0.0000 0.7694  2 Bi 3.29, 4 Tl 3.43
Tl: 0.5000 0.0000 0.2306  2 Bi 3.29, 4 Tl 3.43
Tl: 0.0000 0.5000 0.7694  2 Bi 3.29, 4 Tl 3.43
Bi: 0.5000 0.5000 0.3865  1 Bi 3.24, 4 Tl 3.29
Bi: 0.5000 0.5000 0.6135  1 Bi 3.24, 4 Tl 3.29

Total magnetic moment = 0.00 Bohr magnetons per cell
Mass density = 7.44 g/cm3
Energy relative to the elements = -0.305 eV/atom
Space-group type = No. 123
E = -2.81 eV/atom

***

# 6
A plane-wave DFT calculation with PBE was carried out for an optimized crystal structure of Mg2PaTiO6.

abc: 5.3638 5.3638 5.7103
angles: 61.99 61.99 60.00
Closest atoms and distances in Å follow each position.
Sites, in units of the cell vectors:
Mg: 0.5244 0.5245 0.4267  6 O 2.09-2.23
Mg: 0.0211 0.0210 0.9368  6 O 2.04-2.24
Pa: 0.8105 0.8105 0.5685  6 O 2.18-2.26
Ti: 0.3160 0.3160 0.0519  6 O 2.03-2.09
O: 0.5995 0.2196 0.2497  1 Ti 2.03, 2 Mg 2.09-2.24, 1 Pa 2.26
O: 0.2196 0.9312 0.2497  1 Ti 2.03, 2 Mg 2.09-2.24, 1 Pa 2.26
O: 0.9312 0.5995 0.2496  1 Ti 2.03, 2 Mg 2.09-2.24, 1 Pa 2.26
O: 0.3978 0.7105 0.7607  2 Mg 2.04-2.23, 1 Ti 2.09, 1 Pa 2.18
O: 0.7105 0.1310 0.7608  2 Mg 2.04-2.23, 1 Ti 2.09, 1 Pa 2.18
O: 0.1310 0.3977 0.7608  2 Mg 2.04-2.23, 1 Ti 2.09, 1 Pa 2.18

Total magnetic moment = 1.02 Bohr magnetons per cell
Mass density = 5.88 g/cm3
Space-group type = No. 146
E = -8.01 eV/atom

***

# 7
A plane-wave DFT calculation with PBE was carried out for an optimized crystal structure of LiTl2W.

abc: 4.9790 4.9790 4.9790
angles: 60.00 60.00 60.00
Closest atoms and distances in Å follow each position.
Sites, in units of the cell vectors:
Li: 0.5000 0.5000 0.5000  4 Tl 3.05, 4 W 3.05
Tl: 0.0000 0.0000 0.0000  4 W 3.05, 4 Tl 3.05
Tl: 0.2500 0.2500 0.2500  4 Tl 3.05, 4 Li 3.05
W: 0.7500 0.7500 0.7500  4 Tl 3.05, 4 Li 3.05

Total magnetic moment = 3.02 Bohr magnetons per cell
Mass density = 11.41 g/cm3
Energy relative to the elements = 1.076 eV/atom
Space-group type = No. 216
Relative energy among the computed polymorphs = 0.593 eV/atom
E = -3.82 eV/atom

***

# 8
A plane-wave DFT calculation with PBE was carried out for an optimized crystal structure of Y4Ho5In2.

abc: 5.1988 5.1988 15.8941
angles: 80.59 80.59 60.00
Closest atoms and distances in Å follow each position.
Sites, in units of the cell vectors:
Y: 0.7258 0.7258 0.8227  3 Y 3.42, 5 Ho 3.55-3.63
Y: 0.5726 0.5726 0.2822  3 In 3.24, 5 Ho 3.40-3.58, 3 Y 3.42
Y: 0.4274 0.4274 0.7178  3 In 3.24, 5 Ho 3.40-3.58, 3 Y 3.42
Y: 0.2742 0.2742 0.1773  3 Y 3.42, 5 Ho 3.55-3.63
Ho: 0.8025 0.8025 0.5924  3 In 3.09, 3 Ho 3.33
Ho: 0.6482 0.6482 0.0553  3 Ho 3.46, 5 Y 3.54-3.63
Ho: 0.5000 0.5000 0.5000  6 Ho 3.33, 2 Y 3.40, 6 In 3.71
Ho: 0.3518 0.3518 0.9447  3 Ho 3.46, 5 Y 3.54-3.63
Ho: 0.1975 0.1975 0.4076  3 In 3.09, 3 Ho 3.33
In: 0.1202 0.1202 0.6395  3 Ho 3.09, 3 Y 3.24
In: 0.8798 0.8798 0.3605  3 Ho 3.09, 3 Y 3.24

Total magnetic moment = 0.00 Bohr magnetons per cell
Mass density = 6.41 g/cm3
Energy relative to the elements = 0.197 eV/atom
Space-group type = No. 166
E = -4.73 eV/atom

***

# 9
A plane-wave DFT calculation with PBE was carried out for an optimized crystal structure of ZnGeTeN2.

abc: 4.0494 4.0494 5.9240
angles: 90.00 90.00 90.00
Closest atoms and distances in Å follow each position.
Sites, in units of the cell vectors:
Ge: 0.5000 0.5000 0.5000  4 Te 2.86
Te: 0.0000 0.0000 0.5000  4 Ge 2.86, 2 Zn 2.96
Zn: 0.0000 0.0000 0.0000  4 N 2.02
N: 0.0000 0.5000 0.0000  2 Zn 2.02
N: 0.5000 0.0000 0.0000  2 Zn 2.02

Total magnetic moment = 3.23 Bohr magnetons per cell
Mass density = 5.02 g/cm3
Space-group type = No. 123
Relative energy among the computed polymorphs = 0.376 eV/atom
E = -3.67 eV/atom

***

# 10
A plane-wave DFT calculation with PBE was carried out for an optimized crystal structure of BaCuNi.

abc: 4.8030 4.8030 4.8030
angles: 60.00 60.00 60.00
Closest atoms and distances in Å follow each position.
Sites, in units of the cell vectors:
Ba: 0.5000 0.5000 0.5000  4 Cu 2.94
Cu: 0.7500 0.7500 0.7500  4 Ba 2.94, 4 Ni 2.94
Ni: 0.0000 0.0000 0.0000  4 Cu 2.94

Total magnetic moment = 0.20 Bohr magnetons per cell
Mass density = 5.50 g/cm3
Energy relative to the elements = 0.494 eV/atom
Space-group type = No. 216
Relative energy among the computed polymorphs = 0.480 eV/atom
E = -3.44 eV/atom

***

# 11
A plane-wave DFT calculation with PBE was carried out for an optimized crystal structure of TaCuP2Cl.

abc: 4.8475 4.8475 4.7866
angles: 90.00 90.00 90.00
Closest atoms and distances in Å follow each position.
Sites, in units of the cell vectors:
P: 0.0000 0.5000 0.0000  2 Ta 2.42
P: 0.5000 0.0000 0.0000  2 Ta 2.42
Cl: 0.0000 0.0000 0.5000  2 Ta 2.39
Cu: 0.5000 0.5000 0.5000  8 P 3.41, 4 Cl 3.43
Ta: 0.0000 0.0000 0.0000  2 Cl 2.39, 4 P 2.42

Total magnetic moment = 0.00 Bohr magnetons per cell
Mass density = 5.05 g/cm3
Space-group type = No. 123
Relative energy among the computed polymorphs = 0.000 eV/atom
E = -5.34 eV/atom

***

# 12
A plane-wave DFT calculation with PBE was carried out for an optimized crystal structure of Nb2CdB.

abc: 4.4706 4.4706 4.4706
angles: 60.00 60.00 60.00
Closest atoms and distances in Å follow each position.
Sites, in units of the cell vectors:
Nb: 0.2500 0.2500 0.2500  4 Cd 2.74, 4 B 2.74
Nb: 0.7500 0.7500 0.7500  4 Cd 2.74, 4 B 2.74
B: 0.0000 0.0000 0.0000  8 Nb 2.74
Cd: 0.5000 0.5000 0.5000  8 Nb 2.74

Total magnetic moment = 0.00 Bohr magnetons per cell
Mass density = 8.12 g/cm3
Energy relative to the elements = 0.686 eV/atom
Space-group type = No. 225
Relative energy among the computed polymorphs = 0.291 eV/atom
E = -6.25 eV/atom